Computed, not measured: a geometry-optimized Co3O2F4 structure at the GGA+U level of DFT.

```
Co3O2F4
1.0
-2.624 3.202 -2.288
-4.860 -2.271 1.641
-0.682 4.514 6.148
Co O F
6 4 8
Direct
0.514 0.153 0.836 Co
0.486 0.847 0.164 Co
0.500 0.500 0.500 Co
0.000 0.000 0.500 Co
0.016 0.323 0.158 Co
0.984 0.677 0.842 Co
0.701 0.188 0.609 O
0.679 0.876 0.941 O
0.299 0.812 0.391 O
0.321 0.124 0.059 O
0.802 0.043 0.269 F
0.807 0.694 0.599 F
0.801 0.371 0.934 F
0.696 0.550 0.256 F
0.304 0.450 0.744 F
0.199 0.629 0.066 F
0.198 0.957 0.731 F
0.193 0.306 0.401 F
```

Its distance to the lowest polymorph of the same formula is 0.0 kJ/mol of formula units. The space-group type is P-1, No. 2. The electronic total energy comes out at -5.21 eV/atom.